1.
Crystalline Be2FeTe at its relaxed geometry. Source: Alexandria via LeMat-Bulk, functional PBE.

Summary:
- Uncorrected formation energy: 312 meV per atom
- Spin magnetization: 0.431 μB per atom
- Space-group type: Cmmm, No. 65
- Density of states at the Fermi level: 3.50 states/eV/cell
- Volume: 58.0 Å³/cell

extended XYZ file:
```
4
Lattice="1.8527 -3.9047 0.0000 1.8527 3.9047 0.0000 0.0000 0.0000 4.0113" Properties=species:S:1:pos:R:3 pbc="T T T"
Be 1.8527 2.3873 0.0000
Be 1.8527 -2.3873 0.0000
Fe 1.8527 0.0000 0.0000
Te 0.0000 0.0000 2.0057
```



2.
Crystalline PrNdGdMg at its relaxed geometry. Source: Alexandria via LeMat-Bulk, functional PBE.

Summary:
- Formation energy from the elements: 8 kJ/mol of formula units
- Spin magnetization: 1.891 μB per atom
- Space-group type: F-43m, No. 216
- Density of states at the Fermi level: 5.96 states/eV/cell
- Volume: 127.1 Å³/cell

extended XYZ file:
```
4
Lattice="0.0000 3.9904 3.9904 3.9904 0.0000 3.9904 3.9904 3.9904 0.0000" Properties=species:S:1:pos:R:3 pbc="T T T"
Pr 0.0000 0.0000 0.0000
Nd 3.9904 3.9904 3.9904
Gd 1.9952 1.9952 1.9952
Mg 5.9857 5.9857 5.9857
```



What is the volume in the first record?
58.0 Å³/cell



Among the records above, which one has the highest spin magnetization?
PrNdGdMg



Look up the volume of the second one.
127.1 Å³/cell